Entry one
A relaxed structure of Be2ZnP. Source: the Alexandria database, functional PBE.

- DOS at the Fermi energy (states/eV/cell) = 0.8
- magnetization (μB/cell) = 0.00
- space-group type = R-3m (166)
- crystal system = trigonal

Structure (extended XYZ):
```
4
Lattice="-1.882 -5.285 4.610 -2.784 -6.328 2.220 -0.141 -6.634 2.948" Properties=species:S:1:pos:R:3 pbc="T T T"
P -1.202 -4.562 2.445
Zn -3.605 -13.685 7.334
Be -4.776 -18.132 9.717
Be -2.433 -9.238 4.951
```

=====

Entry two
A relaxed structure of Be2ZnP. Source: the Alexandria database, functional PBE.

- DOS at the Fermi energy (states/eV/cell) = 1.2
- magnetization (μB/cell) = 0.00
- space-group type = C2/m (12)
- crystal system = monoclinic

Structure (extended XYZ):
```
4
Lattice="3.387 -0.493 0.212 2.149 2.664 0.212 1.127 0.442 5.470" Properties=species:S:1:pos:R:3 pbc="T T T"
P 4.998 1.960 4.421
Zn 1.666 0.653 1.474
Be 1.222 0.479 5.090
Be 3.237 1.269 3.328
```

=====

It turns out entry two is the most stable, with the second structure 58 meV/atom higher.

=====

Entry one
A relaxed structure of Pu2ThSi. Source: the Alexandria database, functional PBE.

- DOS at the Fermi energy (states/eV/cell) = 10.8
- magnetization (μB/cell) = 12.77
- space-group type = Fm-3m (225)
- crystal system = cubic

Structure (extended XYZ):
```
4
Lattice="5.092 0.000 0.000 2.546 4.410 0.000 2.546 1.470 4.162" Properties=species:S:1:pos:R:3 pbc="T T T"
Si 0.000 0.000 0.000
Th 5.092 2.940 2.081
Pu 2.546 1.470 1.039
Pu 7.638 4.410 3.122
```

=====

Entry two
A relaxed structure of Pu2ThSi. Source: the Alexandria database, functional PBE.

- DOS at the Fermi energy (states/eV/cell) = 11.6
- magnetization (μB/cell) = 10.99
- space-group type = P4/mmm (123)
- crystal system = tetragonal

Structure (extended XYZ):
```
4
Lattice="-1.317 -3.431 -1.079 1.406 0.566 -3.517 5.633 -2.732 1.812" Properties=species:S:1:pos:R:3 pbc="T T T"
Si 0.045 -1.432 -2.298
Th 2.861 -2.798 -1.392
Pu 4.449 -2.158 1.431
Pu 1.185 -0.575 0.381
```

=====

It turns out entry two is the most stable, with the second structure 238 meV/atom higher.

=====

Entry one
A relaxed structure of Cd2RuBr. Source: the Alexandria database, functional PBE.

- DOS at the Fermi energy (states/eV/cell) = 2.3
- magnetization (μB/cell) = 0.76
- space-group type = R-3m (166)
- crystal system = trigonal

Structure (extended XYZ):
```
4
Lattice="8.822 -0.002 -0.001 8.172 3.324 -0.001 8.172 1.598 2.915" Properties=species:S:1:pos:R:3 pbc="T T T"
Ru 6.292 1.230 0.728
Br 18.875 3.690 2.185
Cd 25.005 4.889 2.894
Cd 12.746 2.492 1.475
```

=====

Entry two
A relaxed structure of Cd2RuBr. Source: the Alexandria database, functional PBE.

- DOS at the Fermi energy (states/eV/cell) = 3.4
- magnetization (μB/cell) = 0.44
- space-group type = Immm (71)
- crystal system = orthorhombic

Structure (extended XYZ):
```
4
Lattice="-2.518 -6.476 1.341 2.748 -6.194 2.041 -1.419 6.911 0.554" Properties=species:S:1:pos:R:3 pbc="T T T"
Ru -1.911 -2.950 1.793
Br 0.722 -2.809 2.143
Cd 0.215 -11.890 3.174
Cd 0.129 -7.116 1.900
```

=====

It turns out entry one is the most stable, with the second structure 101 meV/atom higher.

=====

Entry one
A relaxed structure of KCaNb. Source: the Alexandria database, functional PBE.

- DOS at the Fermi energy (states/eV/cell) = 7.0
- magnetization (μB/cell) = 9.69
- space-group type = P4/nmm (129)
- crystal system = tetragonal

Structure (extended XYZ):
```
6
Lattice="-0.667 -3.619 3.621 3.302 -3.094 -2.485 7.200 3.672 4.997" Properties=species:S:1:pos:R:3 pbc="T T T"
K 6.275 0.811 1.967
K 2.243 -0.496 3.599
Nb 3.259 -0.727 -0.126
Nb 5.259 1.042 5.692
Ca 0.000 0.000 0.000
Ca 1.318 -3.357 0.568
```

=====

Entry two
A relaxed structure of KCaNb. Source: the Alexandria database, functional PBE.

- DOS at the Fermi energy (states/eV/cell) = 14.5
- magnetization (μB/cell) = 2.15
- space-group type = Pnma (62)
- crystal system = orthorhombic

Structure (extended XYZ):
```
12
Lattice="-8.577 2.129 11.124 3.218 -3.418 3.135 3.205 4.494 1.611" Properties=species:S:1:pos:R:3 pbc="T T T"
K -5.496 0.714 8.959
K -2.545 1.316 11.669
K 3.341 2.491 6.910
K 0.390 1.889 4.200
Nb -3.383 0.185 6.214
Nb 3.914 -0.291 3.288
Nb 1.228 3.020 9.655
Nb -6.069 3.496 12.582
Ca 0.000 0.000 0.000
Ca -1.077 1.602 7.935
Ca -2.686 3.311 6.367
Ca 1.609 -1.709 1.568
```

=====

It turns out entry two is the most stable, with the second structure 198 meV/atom higher.

=====

Entry one
A relaxed structure of KZr2Co. Source: the Alexandria database, functional PBE.

- DOS at the Fermi energy (states/eV/cell) = 5.9
- magnetization (μB/cell) = 0.00
- space-group type = Immm (71)
- crystal system = orthorhombic

Structure (extended XYZ):
```
4
Lattice="-3.524 -0.530 -5.196 -3.843 -4.986 -0.255 1.786 5.488 2.527" Properties=species:S:1:pos:R:3 pbc="T T T"
Co -2.711 1.100 -2.697
K -2.870 -1.128 -0.227
Zr -6.875 -5.148 -5.087
Zr -4.176 -3.127 -3.090
```

=====

Entry two
A relaxed structure of KZr2Co. Source: the Alexandria database, functional PBE.

- DOS at the Fermi energy (states/eV/cell) = 4.8
- magnetization (μB/cell) = 0.51
- space-group type = Cm (8)
- crystal system = monoclinic

Structure (extended XYZ):
```
4
Lattice="-1.822 -2.126 3.879 0.165 -4.184 2.314 5.707 0.949 6.001" Properties=species:S:1:pos:R:3 pbc="T T T"
Co 1.091 -2.721 4.965
K 2.715 -4.589 9.485
Zr -1.022 -6.112 6.740
Zr 1.632 -0.928 3.294
```

=====

It turns out entry two is the most stable, with the second structure 116 meV/atom higher.

=====

Entry one
A relaxed structure of BaCa2Os. Source: the Alexandria database, functional PBE.

- DOS at the Fermi energy (states/eV/cell) = 5.2
- magnetization (μB/cell) = 0.74
- space-group type = R-3m (166)
- crystal system = trigonal

Structure (extended XYZ):
```
4
Lattice="11.489 -0.009 -0.005 10.904 3.618 -0.005 10.904 1.758 3.163" Properties=species:S:1:pos:R:3 pbc="T T T"
Ca 32.455 5.231 3.073
Ca 17.492 2.820 1.656
Os 8.325 1.342 0.788
Ba 24.974 4.026 2.364
```

=====

Entry two
A relaxed structure of BaCa2Os. Source: the Alexandria database, functional PBE.

- DOS at the Fermi energy (states/eV/cell) = 2.2
- magnetization (μB/cell) = 0.00
- space-group type = I4/mmm (139)
- crystal system = tetragonal

Structure (extended XYZ):
```
4
Lattice="-2.157 -0.893 5.098 -5.301 -1.250 -1.334 4.606 -2.396 -2.118" Properties=species:S:1:pos:R:3 pbc="T T T"
Ca 0.000 0.000 0.000
Ca -3.729 -1.071 1.882
Os -2.212 -2.358 -0.785
Ba -0.640 -2.180 2.431
```

=====

It turns out entry two is the most stable, with the second structure 55 meV/atom higher.